# SrLiPd2 (PBE-GGA, relaxed)
# - Theoretical density: 6.5 g/cm³
# - Spin magnetization: 0.000 μB/atom
# - Space-group type: No. 123
# - E_tot: -15.53 eV per cell
# - Energy above the most stable polymorph in this dataset: 0.68 eV per formula unit
data_SrLiPd2
_chemical_formula_sum 'Sr1 Li1 Pd2'
_symmetry_space_group_name_H-M 'P 1'
_symmetry_Int_Tables_number 1
_cell_length_a 4.3884
_cell_length_b 4.3884
_cell_length_c 4.0999
_cell_angle_alpha 90.00
_cell_angle_beta 90.00
_cell_angle_gamma 90.00
loop_
_symmetry_equiv_pos_as_xyz
'x,y,z'
loop_
_atom_site_label
_atom_site_fract_x
_atom_site_fract_y
_atom_site_fract_z
Sr1 0.0000 0.0000 0.0000
Li1 0.5000 0.5000 0.0000
Pd1 0.0000 0.5000 0.5000
Pd2 0.5000 0.0000 0.5000